(1)
This record from the Alexandria database describes a relaxed Fe2GeB2 crystal. The functional is PBE-GGA.

VASP energy = -6.910 eV per atom
SG = P4/mbm, No. 127
ΔE_f = 70 meV per atom

Unit cell a=5.6269 b=5.6269 c=2.8571 alpha=90.00 beta=90.00 gamma=90.00
Last column: nearest neighbours and their distance in Å.
Fractional coordinates of all 10 atoms:
Fe 0.1701 0.3299 0.0000  6 B 2.16-2.25
Fe 0.3299 0.8299 0.0000  6 B 2.16-2.25
Fe 0.6701 0.1701 0.0000  6 B 2.16-2.25
Fe 0.8299 0.6701 0.0000  6 B 2.16-2.25
Ge 0.0000 0.0000 0.5000  4 B 2.28, 8 Fe 2.53
Ge 0.5000 0.5000 0.5000  4 B 2.28, 8 Fe 2.53
B 0.1107 0.6107 0.5000  1 B 1.76
B 0.3893 0.1107 0.5000  1 B 1.76
B 0.6107 0.8893 0.5000  1 B 1.76
B 0.8893 0.3893 0.5000  1 B 1.76

***

(2)
This record from the Alexandria database describes a relaxed SrSbI2O crystal. The functional is PBE-GGA.

VASP energy = -2.263 eV per atom
SG = P4/mmm, No. 123
energy relative to the elements, uncorrected = 509 meV/atom

Unit cell a=6.1557 b=6.1557 c=6.7531 alpha=90.00 beta=90.00 gamma=90.00
Last column: nearest neighbours and their distance in Å.
Fractional coordinates of all 5 atoms:
Sr 0.0000 0.0000 0.0000  4 I 3.08, 2 Sb 3.38
Sb 0.0000 0.0000 0.5000  2 Sr 3.38
I 0.0000 0.5000 0.0000  2 Sr 3.08
I 0.5000 0.0000 0.0000  2 Sr 3.08
O 0.5000 0.5000 0.5000  4 Sb 4.35, 8 I 4.57

***

(3)
This record from the Alexandria database describes a relaxed SrMgMo2 crystal. The functional is PBE-GGA.

VASP energy = -5.591 eV per atom
SG = Imm2, No. 44
ΔE_f = 644 meV per atom

Unit cell a=3.3811 b=5.4539 c=10.1806 alpha=90.00 beta=90.00 gamma=90.00
Last column: nearest neighbours and their distance in Å.
Fractional coordinates of all 8 atoms:
Sr 0.0000 0.0000 0.0000  8 Mo 3.26-3.54, 2 Sr 3.38, 4 Mg 3.42-3.45
Sr 0.5000 0.5000 0.5000  8 Mo 3.26-3.54, 2 Sr 3.38, 4 Mg 3.42-3.45
Mg 0.0000 0.5000 0.7919  6 Mo 3.19-3.29, 2 Mg 3.38, 4 Sr 3.42-3.45
Mg 0.5000 0.0000 0.2919  6 Mo 3.19-3.29, 2 Mg 3.38, 4 Sr 3.42-3.45
Mo 0.0000 0.0000 0.5573  2 Mo 2.38
Mo 0.0000 0.5000 0.2222  2 Mo 2.38
Mo 0.5000 0.0000 0.7222  2 Mo 2.38
Mo 0.5000 0.5000 0.0573  2 Mo 2.38